# 1
Mg3Zn3Cu: optimized geometry, GGA-PBEsol.

Values from the calculation:
V, Å³ per cell: 223.7
Spin magnetization, μB per atom: 0.000
Energy of formation from the pure elements, eV per atom: -0.05
E, eV per cell: -29.10

Cell and atoms, written as CIF:
```
data_Mg3Zn3Cu
_chemical_formula_sum 'Mg6 Zn6 Cu2'
_symmetry_space_group_name_H-M 'P 63/m'
_symmetry_Int_Tables_number 176
_symmetry_space_group_name_Hall '-P 6c'
_cell_length_a 7.5570
_cell_length_b 7.5570
_cell_length_c 4.5240
_cell_angle_alpha 90.00
_cell_angle_beta 90.00
_cell_angle_gamma 120.00
loop_
_atom_site_label
_atom_site_fract_x
_atom_site_fract_y
_atom_site_fract_z
Mg1 0.0953 0.4626 0.2500
Zn1 0.0570 0.2328 0.7500
Cu1 0.3333 0.6667 0.7500
```

---

# 2
MgZnCu2: optimized geometry, GGA-PBEsol.

Values from the calculation:
V, Å³ per cell: 106.5
Spin magnetization, μB per atom: 0.000
Energy of formation from the pure elements, eV per atom: -0.07
E, eV per cell: -24.53

Cell and atoms, written as CIF:
```
data_MgZnCu2
_chemical_formula_sum 'Mg2 Zn2 Cu4'
_symmetry_space_group_name_H-M 'I -4 m 2'
_symmetry_Int_Tables_number 119
_symmetry_space_group_name_Hall 'I -4 -2'
_cell_length_a 3.697
_cell_length_b 3.697
_cell_length_c 7.789
_cell_angle_alpha 90.00
_cell_angle_beta 90.00
_cell_angle_gamma 90.00
loop_
_atom_site_label
_atom_site_fract_x
_atom_site_fract_y
_atom_site_fract_z
Mg1 0.000 0.000 0.000
Zn1 0.000 0.500 0.250
Cu1 0.000 0.000 0.500
Cu2 0.000 0.500 0.750
```